No. 1
VASP calculation (PBE-GGA) on crystalline Na2PuCdSb2 at its relaxed geometry.

Output
- raw total energy (eV per cell) = -57.3
- space group = Pmc2_1

Lattice parameters (Å, degrees): 4.7275 7.6056 9.3408 90.00 90.00 90.00
Site moments in Bohr magnetons follow the coordinates.
Positions (direct):
Na  0.5000  0.0384  0.0768  0.01
Na  0.0000  0.3489  0.1662  0.01
Na  0.5000  0.5384  0.9232  0.01
Na  0.0000  0.8489  0.8338  0.01
Pu  0.0000  0.9814  0.4536  5.57
Pu  0.0000  0.4814  0.5464  5.57
Cd  0.5000  0.1517  0.6871  0.02
Cd  0.5000  0.6517  0.3129  0.02
Sb  0.0000  0.2642  0.8387  -0.03
Sb  0.5000  0.2611  0.3775  -0.06
Sb  0.0000  0.7642  0.1613  -0.03
Sb  0.5000  0.7611  0.6225  -0.06

---

No. 2
VASP calculation (PBE-GGA) on crystalline Na3Pu2CdSe6 at its relaxed geometry.

Output
- raw total energy (eV per cell) = -68.6
- space group = C2/m

Lattice parameters (Å, degrees): 7.1775 7.1775 7.3838 99.32 99.32 119.96
Site moments in Bohr magnetons follow the coordinates.
Positions (direct):
Na  0.1636  0.8364  0.5000  0.00
Na  0.8364  0.1636  0.5000  0.00
Na  0.5000  0.5000  0.5000  0.00
Pu  0.3330  0.6670  0.0000  4.90
Pu  0.6670  0.3330  0.0000  4.90
Cd  0.0000  0.0000  0.0000  0.00
Se  0.9233  0.5855  0.7702  -0.12
Se  0.7385  0.7385  0.2299  -0.11
Se  0.0767  0.4145  0.2298  -0.12
Se  0.5855  0.9233  0.7702  -0.12
Se  0.2615  0.2615  0.7701  -0.11
Se  0.4145  0.0767  0.2298  -0.12

---

No. 3
VASP calculation (PBE-GGA) on crystalline Na2PuCdSe4 at its relaxed geometry.

Output
- raw total energy (eV per cell) = -40.2
- space group = P2/m

Lattice parameters (Å, degrees): 4.1501 7.1040 7.4215 109.90 90.00 90.00
Site moments in Bohr magnetons follow the coordinates.
Positions (direct):
Na  0.5000  0.0000  0.5000  0.00
Na  0.0000  0.5000  0.5000  0.00
Pu  0.5000  0.5000  0.0000  4.72
Cd  0.0000  0.0000  0.0000  0.00
Se  0.5000  0.2422  0.2208  -0.12
Se  0.5000  0.7578  0.7792  -0.12
Se  0.0000  0.2683  0.7655  -0.14
Se  0.0000  0.7317  0.2345  -0.14

---

No. 4
VASP calculation (PBE-GGA) on crystalline Na4Pu3CdSe8 at its relaxed geometry.

Output
- raw total energy (eV per cell) = -96.9
- space group = R-3m

Lattice parameters (Å, degrees): 8.3511 8.4582 8.3510 119.60 120.00 90.00
Site moments in Bohr magnetons follow the coordinates.
Positions (direct):
Na  0.5000  0.0000  0.0000  0.00
Na  0.5000  0.0000  0.5000  0.00
Na  0.0000  0.0000  0.0000  0.00
Na  0.0000  0.0000  0.5000  0.00
Pu  0.5000  0.5000  0.0000  4.97
Pu  0.5000  0.5000  0.5000  4.97
Pu  0.0000  0.5000  0.5000  4.97
Cd  0.0000  0.5000  0.0000  0.00
Se  0.2442  0.7291  0.9850  -0.11
Se  0.2443  0.7292  0.4885  -0.11
Se  0.2570  0.2712  0.5141  -0.12
Se  0.7408  0.7291  0.9850  -0.11
Se  0.2592  0.2709  0.0150  -0.11
Se  0.7430  0.7288  0.4859  -0.12
Se  0.7557  0.2708  0.5115  -0.11
Se  0.7558  0.2709  0.0150  -0.11

---

No. 5
VASP calculation (PBE-GGA) on crystalline NaPuCdSn at its relaxed geometry.

Output
- raw total energy (eV per cell) = -21.1
- ΔH_f (0 K) (eV/atom) = -0.123
- space group = F-43m

Lattice parameters (Å, degrees): 5.3016 5.3016 5.3016 60.00 60.00 60.00
Site moments in Bohr magnetons follow the coordinates.
Positions (direct):
Na  0.0000  0.0000  0.0000  0.00
Cd  0.7500  0.7500  0.7500  0.01
Sn  0.2500  0.2500  0.2500  -0.08
Pu  0.5000  0.5000  0.5000  5.35

---

No. 6
VASP calculation (PBE-GGA) on crystalline Na3Pu2CdTe6 at its relaxed geometry.

Output
- raw total energy (eV per cell) = -62.5
- space group = C2/m

Lattice parameters (Å, degrees): 7.6900 7.6900 7.9305 99.28 99.28 119.97
Site moments in Bohr magnetons follow the coordinates.
Positions (direct):
Na  0.1653  0.8347  0.5000  0.00
Na  0.8347  0.1653  0.5000  0.00
Na  0.5000  0.5000  0.5000  0.00
Pu  0.3331  0.6669  0.0000  5.05
Pu  0.6669  0.3331  0.0000  5.05
Cd  0.0000  0.0000  0.0000  0.00
Te  0.9228  0.5891  0.7686  -0.13
Te  0.7431  0.7431  0.2311  -0.13
Te  0.0772  0.4109  0.2314  -0.13
Te  0.5891  0.9228  0.7686  -0.13
Te  0.2569  0.2569  0.7689  -0.13
Te  0.4109  0.0772  0.2314  -0.13

---

No. 7
VASP calculation (PBE-GGA) on crystalline Na2PuCdTe4 at its relaxed geometry.

Output
- raw total energy (eV per cell) = -36.4
- space group = P2/m

Lattice parameters (Å, degrees): 4.4202 7.6939 7.9736 109.98 90.00 90.00
Site moments in Bohr magnetons follow the coordinates.
Positions (direct):
Na  0.5000  0.0000  0.5000  -0.01
Na  0.0000  0.5000  0.5000  0.00
Pu  0.5000  0.5000  0.0000  4.94
Cd  0.0000  0.0000  0.0000  0.00
Te  0.5000  0.2363  0.2184  -0.15
Te  0.5000  0.7637  0.7816  -0.15
Te  0.0000  0.2661  0.7611  -0.15
Te  0.0000  0.7339  0.2389  -0.15

---

No. 8
VASP calculation (PBE-GGA) on crystalline NaPuTlCd at its relaxed geometry.

Output
- raw total energy (eV per cell) = -18.8
- ΔH_f (0 K) (eV/atom) = 0.044
- space group = F-43m

Lattice parameters (Å, degrees): 5.3447 5.3447 5.3447 60.00 60.00 60.00
Site moments in Bohr magnetons follow the coordinates.
Positions (direct):
Na  0.0000  0.0000  0.0000  0.00
Tl  0.2500  0.2500  0.2500  0.02
Cd  0.7500  0.7500  0.7500  0.03
Pu  0.5000  0.5000  0.5000  5.48